Record 1
Material: Cs2HgI4
Method: DFT, meta-GGA SCAN
State: single point on PBEsol structure

It has space group P2_1/m (No. 11), with a = 7.773 Å, b = 8.259 Å, c = 10.896 Å, α = 90.00°, β = 110.24° and γ = 90.00°. Symmetry generates all atoms from Cs at (0.197, 0.250, 0.037), Cs at (0.295, 0.250, 0.590), Hg at (0.186, 0.750, 0.777), I at (0.049, 0.518, 0.286), I at (0.358, 0.750, 0.052) and I at (0.423, 0.750, 0.637).

As for the total magnetic moment: 0.0 μB per formula unit. As for the uncorrected formation energy: -1.142 eV/atom. The calculation puts the total energy at -597.49 eV/cell.

=====

Record 2
Material: Cd2BiBrN
Method: DFT, meta-GGA SCAN
State: single point on PBEsol structure

It has space group P4/mmm (No. 123), with a = 4.276 Å, b = 4.276 Å, c = 6.537 Å, α = 90.00°, β = 90.00° and γ = 90.00°. Symmetry generates all atoms from Cd at (0.000, 0.500, 0.000), Bi at (0.000, 0.000, 0.500), Br at (0.500, 0.500, 0.500) and N at (0.500, 0.500, 0.000).

As for the total magnetic moment: 0.0 μB per formula unit. As for the uncorrected formation energy: 0.488 eV/atom. The calculation puts the total energy at -165.72 eV/cell.

=====

Record 3
Material: KHfTe3
Method: DFT, meta-GGA SCAN
State: single point on PBEsol structure

It has space group Pm-3m (No. 221), with a = 5.567 Å, b = 5.567 Å, c = 5.567 Å, α = 90.00°, β = 90.00° and γ = 90.00°. Symmetry generates all atoms from K at (0.000, 0.000, 0.000), Hf at (0.500, 0.500, 0.500) and Te at (0.000, 0.000, 0.500).

As for the total magnetic moment: 0.8 μB per formula unit. As for the uncorrected formation energy: 1.302 eV/atom. The calculation puts the total energy at -176.25 eV/cell.

=====

Record 4
Material: KBa3Co
Method: DFT, meta-GGA SCAN
State: single point on PBEsol structure

It has space group Pm-3m (No. 221), with a = 6.097 Å, b = 6.097 Å, c = 6.097 Å, α = 90.00°, β = 90.00° and γ = 90.00°. Symmetry generates all atoms from K at (0.000, 0.000, 0.000), Ba at (0.000, 0.500, 0.500) and Co at (0.500, 0.500, 0.500).

As for the total magnetic moment: 1.5 μB per formula unit. As for the formation energy from the elements: 341 meV per atom. The calculation puts the total energy at -142.58 eV/cell.

=====

- What is the total magnetic moment in the fourth record?
  1.5 μB per formula unit